! EuYSn GGA-PBE optimized geometry; values from VASP
! - calculated formation energy (eV per atom) = -0.39
&SYSTEM
  ibrav = 0, nat = 3, ntyp = 3
/
ATOMIC_SPECIES
Eu 151.96 Eu.upf
Y 88.91 Y.upf
Sn 118.71 Sn.upf
CELL_PARAMETERS angstrom
3.8348 0.0000 0.0000
0.0000 5.2964 0.0000
0.0000 -2.6482 4.5868
ATOMIC_POSITIONS angstrom
Eu 3.7367 0.0000 0.0000
Y 1.6318 0.0000 3.0579
Sn 2.3009 2.6482 1.5289


! KHgW4 GGA-PBE optimized geometry; values from VASP
! - calculated formation energy (eV per atom) = 1.24
&SYSTEM
  ibrav = 0, nat = 6, ntyp = 3
/
ATOMIC_SPECIES
K 39.10 K.upf
Hg 200.59 Hg.upf
W 183.84 W.upf
CELL_PARAMETERS angstrom
-3.8993 -3.2376 2.1557
-1.6777 0.7891 5.1861
-5.0245 2.0264 0.9907
ATOMIC_POSITIONS angstrom
K 0.0000 0.0000 0.0000
Hg -7.9511 -0.3166 6.2494
W -5.9324 -1.7953 4.2029
W -6.5016 0.8673 3.6137
W -4.8087 0.2415 5.7358
W -3.9601 -0.1577 3.1126


! CoSbCl2 GGA-PBE optimized geometry; values from VASP
! - formation energy (no corrections) (meV per atom) = -40
&SYSTEM
  ibrav = 0, nat = 4, ntyp = 3
/
ATOMIC_SPECIES
Sb 121.76 Sb.upf
Co 58.93 Co.upf
Cl 35.45 Cl.upf
CELL_PARAMETERS angstrom
3.4845 -0.0600 0.0000
-1.4568 3.1659 0.0000
0.0000 0.0000 8.6625
ATOMIC_POSITIONS angstrom
Sb 1.0139 1.5530 6.1223
Co 0.0000 0.0000 4.2914
Cl 0.0000 0.0000 8.2259
Cl 1.0139 1.5530 3.0168


! TcIrW GGA-PBE optimized geometry; values from VASP
! - calculated formation energy (eV per atom) = -0.05
&SYSTEM
  ibrav = 0, nat = 3, ntyp = 3
/
ATOMIC_SPECIES
Ir 192.22 Ir.upf
Tc 98.00 Tc.upf
W 183.84 W.upf
CELL_PARAMETERS angstrom
4.8407 0.0017 0.0013
2.4615 4.1682 -0.0013
-3.2307 -2.8211 2.2442
ATOMIC_POSITIONS angstrom
Ir 7.2923 4.1641 0.0000
Tc 2.4474 1.3975 0.0000
W 4.8648 2.7780 0.0000